Record 1
VASP calculation (PBE) on a relaxed Be3SnGe crystal.

a b c (Å): 4.591 4.591 4.591
angles (deg): 90.00 90.00 90.00
Positions (direct):
Be  0.000  0.500  0.000
Be  0.000  0.000  0.500
Be  0.500  0.000  0.000
Ge  0.500  0.500  0.500
Sn  0.000  0.000  0.000

Output
crystal system: cubic
relative energy among the computed polymorphs: 469.0 meV/atom
energy of formation from the pure elements: 1.296 eV per atom



Record 2
VASP calculation (PBE) on a relaxed LiCoNi2B crystal.

a b c (Å): 3.814 3.814 3.807
angles (deg): 90.00 90.00 90.00
Positions (direct):
Ni  0.000  0.500  0.000
Ni  0.500  0.000  0.000
B  0.000  0.000  0.000
Co  0.000  0.000  0.500
Li  0.500  0.500  0.500

Output
crystal system: tetragonal
energy of formation from the pure elements: -0.035 eV per atom



Record 3
VASP calculation (PBE) on a relaxed Ac3Zn2Ag9 crystal.

a b c (Å): 4.707 8.826 8.826
angles (deg): 70.41 74.54 74.54
Positions (direct):
Ac  0.000  0.000  0.000
Ac  0.693  0.307  0.307
Ac  0.307  0.693  0.693
Zn  0.500  0.290  0.710
Zn  0.500  0.710  0.290
Ag  0.000  0.500  0.500
Ag  0.667  0.973  0.694
Ag  0.333  0.027  0.306
Ag  0.667  0.694  0.973
Ag  0.333  0.306  0.027
Ag  0.877  0.842  0.403
Ag  0.123  0.158  0.597
Ag  0.877  0.403  0.842
Ag  0.123  0.597  0.158

Output
crystal system: orthorhombic
energy of formation from the pure elements: -0.228 eV per atom



Record 4
VASP calculation (PBE) on a relaxed Li2CeHoS4 crystal.

a b c (Å): 3.975 6.890 6.586
angles (deg): 110.34 90.00 90.00
Positions (direct):
Li  0.500  0.000  0.500
Li  0.000  0.500  0.500
Ce  0.500  0.500  0.000
Ho  0.000  0.000  0.000
S  0.500  0.243  0.251
S  0.500  0.757  0.749
S  0.000  0.240  0.745
S  0.000  0.760  0.255

Output
crystal system: monoclinic
uncorrected formation energy: -1778 meV per atom